Arrangement a

The following is a DFT calculation (PBE) of a geometry-optimized YAlBr2 structure.

a b c (Å): 8.2071 8.2071 8.2071
angles (deg): 154.30 142.73 45.82
Closest atoms and distances in Å follow each position.
Positions (direct):
Br (0.6028, 0.6028, 0.0000)  2 Y 2.88
Br (0.8972, 0.8972, 0.0000)  2 Y 2.88
Y (0.7500, 0.2500, 0.5000)  4 Br 2.88, 4 Al 3.19
Al (0.2500, 0.7500, 0.5000)  4 Y 3.19, 4 Br 3.44

Properties
The calculation puts the size of the total moment at 0.0000 μB/atom.


Arrangement b

The following is a DFT calculation (PBE) of a geometry-optimized YAlBr2 structure.

a b c (Å): 10.4605 10.4605 10.4605
angles (deg): 19.99 19.99 19.99
Closest atoms and distances in Å follow each position.
Positions (direct):
Br (0.1014, 0.1014, 0.1014)  3 Y 2.90, 1 Al 3.12
Br (0.8986, 0.8986, 0.8986)  3 Y 2.90, 1 Al 3.12
Al (0.0000, 0.0000, 0.0000)  2 Br 3.12
Y (0.5000, 0.5000, 0.5000)  6 Br 2.90

Properties
The calculation puts the size of the total moment at 0.0000 μB/atom.


Most stable of them? arrangement a.


Arrangement a

The following is a DFT calculation (PBE) of a geometry-optimized YAlBr2 structure.

a b c (Å): 5.9692 5.9692 3.7292
angles (deg): 71.01 71.01 108.62
Closest atoms and distances in Å follow each position.
Positions (direct):
Br (0.5000, 0.5000, 0.0000)  2 Y 2.96, 2 Al 2.96
Br (0.0000, 0.0000, 0.0000)  2 Al 2.96, 2 Y 2.96
Al (0.0000, 0.5000, 0.5000)  4 Br 2.96
Y (0.5000, 0.0000, 0.5000)  4 Br 2.96

Properties
The calculation puts the size of the total moment at 0.0000 μB/atom.


Arrangement b

The following is a DFT calculation (PBE) of a geometry-optimized YAlBr2 structure.

a b c (Å): 3.6310 3.6310 10.0570
angles (deg): 90.00 90.00 114.27
Closest atoms and distances in Å follow each position.
Positions (direct):
Br (0.5000, 0.5000, 0.3179)  2 Y 2.84
Br (0.0000, 0.0000, 0.9169)  2 Al 2.63
Y (0.0000, 0.0000, 0.5208)  2 Br 2.84, 2 Al 2.99
Al (0.5000, 0.5000, 0.7444)  2 Br 2.63

Properties
The calculation puts the size of the total moment at 0.0000 μB/atom.


Arrangement c

The following is a DFT calculation (PBE) of a geometry-optimized YAlBr2 structure.

a b c (Å): 4.8533 3.8003 5.8477
angles (deg): 90.18 90.00 90.00
Closest atoms and distances in Å follow each position.
Positions (direct):
Al (0.5000, 0.7500, 0.7500)  4 Br 3.03
Br (0.0000, 0.0280, 0.0017)  2 Y 2.95, 2 Al 3.03
Br (0.0000, 0.4720, 0.4983)  2 Y 2.95, 2 Al 3.03
Y (0.5000, 0.2500, 0.2500)  4 Br 2.95

Properties
The calculation puts the size of the total moment at 0.0000 μB/atom.


Arrangement d

The following is a DFT calculation (PBE) of a geometry-optimized YAlBr2 structure.

a b c (Å): 10.0736 10.0736 10.0736
angles (deg): 22.27 22.27 22.27
Closest atoms and distances in Å follow each position.
Positions (direct):
Y (0.0000, 0.0000, 0.0000)  2 Br 2.76
Al (0.5000, 0.5000, 0.5000)  6 Br 3.11
Br (0.9062, 0.9062, 0.9062)  1 Y 2.76
Br (0.0938, 0.0938, 0.0938)  1 Y 2.76

Properties
The calculation puts the size of the total moment at 0.0000 μB/atom.


Most stable of them? arrangement b.


Arrangement a

The following is a DFT calculation (PBE) of a geometry-optimized YAlBr2 structure.

a b c (Å): 6.4708 6.4708 6.4708
angles (deg): 142.21 142.21 54.51
Closest atoms and distances in Å follow each position.
Positions (direct):
Br (0.2500, 0.7500, 0.5000)  4 Al 2.96
Br (0.0000, 0.0000, 0.0000)  4 Y 2.96
Y (0.5000, 0.5000, 0.0000)  4 Br 2.96
Al (0.7500, 0.2500, 0.5000)  4 Br 2.96

Properties
The calculation puts the size of the total moment at 0.0000 μB/atom.


Arrangement b

The following is a DFT calculation (PBE) of a geometry-optimized YAlBr2 structure.

a b c (Å): 7.1149 7.1149 8.0504
angles (deg): 63.78 63.78 90.00
Closest atoms and distances in Å follow each position.
Positions (direct):
Br (0.3750, 0.3244, 0.7500)  2 Y 2.76
Br (0.0744, 0.6250, 0.2500)  2 Y 2.76
Br (0.8750, 0.9256, 0.7500)  2 Y 2.76
Br (0.6756, 0.1250, 0.2500)  2 Y 2.76
Al (0.2500, 0.7500, 0.5000)  4 Br 3.19
Al (0.5000, 0.5000, 0.0000)  4 Br 3.19
Y (0.7500, 0.2500, 0.5000)  4 Br 2.76
Y (0.0000, 0.0000, 0.0000)  4 Br 2.76

Properties
The calculation puts the size of the total moment at 0.0002 μB/atom.


Most stable of them? arrangement a.


Arrangement a

The following is a DFT calculation (PBE) of a geometry-optimized YAlBr2 structure.

a b c (Å): 3.6473 5.8649 4.7128
angles (deg): 90.00 90.00 90.00
Closest atoms and distances in Å follow each position.
Positions (direct):
Al (0.0000, 0.5000, 0.5000)  4 Br 2.98
Br (0.5000, 0.5000, 0.0000)  4 Al 2.98
Br (0.0000, 0.0000, 0.0000)  4 Y 2.98
Y (0.5000, 0.0000, 0.5000)  4 Br 2.98

Properties
The calculation puts the size of the total moment at 0.0000 μB/atom.


Arrangement b

The following is a DFT calculation (PBE) of a geometry-optimized YAlBr2 structure.

a b c (Å): 7.8174 7.8174 5.2464
angles (deg): 80.09 80.09 26.49
Closest atoms and distances in Å follow each position.
Positions (direct):
Y (0.2500, 0.2500, 0.2500)  4 Br 2.90, 4 Al 3.18
Br (0.6044, 0.6044, 0.4490)  2 Y 2.90, 1 Al 2.94
Br (0.8956, 0.8956, 0.0510)  2 Y 2.90, 1 Al 2.94
Al (0.7500, 0.7500, 0.7500)  2 Br 2.94, 4 Y 3.18

Properties
The calculation puts the size of the total moment at 0.0000 μB/atom.


Arrangement c

The following is a DFT calculation (PBE) of a geometry-optimized YAlBr2 structure.

a b c (Å): 5.5983 5.5983 5.5983
angles (deg): 130.10 130.10 73.25
Closest atoms and distances in Å follow each position.
Positions (direct):
Br (0.0000, 0.0000, 0.0000)  4 Al 3.26, 4 Y 3.26, 4 Br 3.34
Br (0.5000, 0.5000, 0.0000)  4 Y 3.26, 4 Al 3.26, 4 Br 3.34
Al (0.7500, 0.2500, 0.5000)  8 Br 3.26, 4 Y 3.34
Y (0.2500, 0.7500, 0.5000)  8 Br 3.26, 4 Al 3.34

Properties
The calculation puts the size of the total moment at 0.0000 μB/atom.


Arrangement d

The following is a DFT calculation (PBE) of a geometry-optimized YAlBr2 structure.

a b c (Å): 5.3104 5.3104 5.3104
angles (deg): 60.00 60.00 60.00
Closest atoms and distances in Å follow each position.
Positions (direct):
Br (0.0000, 0.0000, 0.0000)  4 Br 3.25, 4 Y 3.25
Br (0.2500, 0.2500, 0.2500)  4 Al 3.25, 4 Br 3.25
Y (0.7500, 0.7500, 0.7500)  4 Br 3.25, 4 Al 3.25
Al (0.5000, 0.5000, 0.5000)  4 Y 3.25, 4 Br 3.25

Properties
The calculation puts the size of the total moment at 0.3997 μB/atom.


Most stable of them? arrangement b.


Arrangement a

The following is a DFT calculation (PBE) of a geometry-optimized YAlBr2 structure.

a b c (Å): 3.6775 3.6775 10.1918
angles (deg): 90.00 90.00 119.96
Closest atoms and distances in Å follow each position.
Positions (direct):
Br (0.0000, 0.0000, 0.4648)  2 Y 2.86
Br (0.0000, 0.0000, 0.0352)  2 Y 2.86
Al (0.5000, 0.5000, 0.7500)  4 Br 3.44, 6 Al 3.68
Y (0.5000, 0.5000, 0.2500)  4 Br 2.86

Properties
The calculation puts the size of the total moment at 0.0000 μB/atom.


Arrangement b

The following is a DFT calculation (PBE) of a geometry-optimized YAlBr2 structure.

a b c (Å): 3.5985 3.5985 8.6615
angles (deg): 90.00 90.00 90.00
Closest atoms and distances in Å follow each position.
Positions (direct):
Br (0.0000, 0.0000, 0.9136)  4 Al 2.99
Br (0.5000, 0.5000, 0.3313)  4 Y 3.04
Y (0.0000, 0.0000, 0.5239)  5 Br 3.04-3.38, 4 Al 3.11
Al (0.5000, 0.5000, 0.7312)  4 Br 2.99, 4 Y 3.11

Properties
The calculation puts the size of the total moment at 0.0505 μB/atom.


Most stable of them? arrangement b.


Arrangement a

The following is a DFT calculation (PBE) of a geometry-optimized YAlBr2 structure.

a b c (Å): 5.4374 3.8246 5.5616
angles (deg): 69.87 90.00 90.00
Closest atoms and distances in Å follow each position.
Positions (direct):
Br (0.0000, 0.0249, 0.0753)  3 Y 2.96-2.97
Br (0.5000, 0.4274, 0.2705)  2 Al 2.74, 2 Y 2.99
Al (0.5000, 0.7387, 0.6472)  2 Br 2.74
Y (0.0000, 0.3090, 0.5070)  5 Br 2.96-2.99

Properties
The calculation puts the size of the total moment at 0.0000 μB/atom.


Arrangement b

The following is a DFT calculation (PBE) of a geometry-optimized YAlBr2 structure.

a b c (Å): 7.6441 7.6441 7.6441
angles (deg): 153.20 140.69 48.21
Closest atoms and distances in Å follow each position.
Positions (direct):
Br (0.6759, 0.1759, 0.5000)  2 Y 2.87
Br (0.9691, 0.9691, 0.0000)  2 Al 3.13, 4 Y 3.18
Al (0.3409, 0.8409, 0.5000)  2 Y 3.00, 2 Br 3.13
Y (0.5141, 0.5141, 0.0000)  6 Br 2.87-3.18, 2 Al 3.00

Properties
The calculation puts the size of the total moment at 0.0000 μB/atom.


Most stable of them? arrangement a.